# GGA-PBE KS2Cl, optimized geometry
# total DFT energy (no corrections) = -2.643 eV per atom
# formation energy from raw total energies = 0.63 eV/f.u.
# relative energy among the computed polymorphs = 169 meV/atom
# symmetry = R-3m
# size of the total moment = 0.000 Bohr magnetons per cell
data_KS2Cl
_symmetry_space_group_name_H-M 'P 1'
_symmetry_Int_Tables_number 1
_cell_length_a 9.0499
_cell_length_b 9.0499
_cell_length_c 9.0499
_cell_angle_alpha 25.36
_cell_angle_beta 25.36
_cell_angle_gamma 25.36
loop_
_symmetry_equiv_pos_as_xyz
'x,y,z'
loop_
_atom_site_label
_atom_site_type_symbol
_atom_site_fract_x
_atom_site_fract_y
_atom_site_fract_z
_atom_site_occupancy
K1 K 0.0000 0.0000 0.0000 1
S1 S 0.4159 0.4159 0.4159 1
S2 S 0.5841 0.5841 0.5841 1
Cl1 Cl 0.5000 0.5000 0.5000 1


# GGA-PBE KSCl2, optimized geometry
# total DFT energy (no corrections) = -2.561 eV per atom
# formation energy from raw total energies = -1.33 eV/f.u.
# relative energy among the computed polymorphs = 341 meV/atom
# symmetry = Fm-3m
# size of the total moment = 3.000 Bohr magnetons per cell
data_KSCl2
_symmetry_space_group_name_H-M 'P 1'
_symmetry_Int_Tables_number 1
_cell_length_a 5.2777
_cell_length_b 5.2777
_cell_length_c 5.2777
_cell_angle_alpha 60.00
_cell_angle_beta 60.00
_cell_angle_gamma 60.00
loop_
_symmetry_equiv_pos_as_xyz
'x,y,z'
loop_
_atom_site_label
_atom_site_type_symbol
_atom_site_fract_x
_atom_site_fract_y
_atom_site_fract_z
_atom_site_occupancy
K1 K 0.0000 0.0000 0.0000 1
S1 S 0.5000 0.5000 0.5000 1
Cl1 Cl 0.2500 0.2500 0.2500 1
Cl2 Cl 0.7500 0.7500 0.7500 1


# GGA-PBE KS3Cl12, optimized geometry
# total DFT energy (no corrections) = -2.506 eV per atom
# formation energy from raw total energies = -4.46 eV/f.u.
# symmetry = R-3c
# size of the total moment = 1.923 Bohr magnetons per cell
data_KS3Cl12
_symmetry_space_group_name_H-M 'P 1'
_symmetry_Int_Tables_number 1
_cell_length_a 15.9602
_cell_length_b 15.9602
_cell_length_c 15.9602
_cell_angle_alpha 37.00
_cell_angle_beta 37.00
_cell_angle_gamma 37.00
loop_
_symmetry_equiv_pos_as_xyz
'x,y,z'
loop_
_atom_site_label
_atom_site_type_symbol
_atom_site_fract_x
_atom_site_fract_y
_atom_site_fract_z
_atom_site_occupancy
K1 K 0.0000 0.0000 0.0000 1
K2 K 0.5000 0.5000 0.5000 1
S1 S 0.1649 0.7500 0.3351 1
S2 S 0.2500 0.6649 0.8351 1
S3 S 0.3351 0.1649 0.7500 1
S4 S 0.6649 0.8351 0.2500 1
S5 S 0.7500 0.3351 0.1649 1
S6 S 0.8351 0.2500 0.6649 1
Cl1 Cl 0.0482 0.0506 0.6442 1
Cl2 Cl 0.0506 0.6442 0.0482 1
Cl3 Cl 0.1247 0.7112 0.2605 1
Cl4 Cl 0.1442 0.5506 0.5482 1
Cl5 Cl 0.2112 0.6247 0.7605 1
Cl6 Cl 0.2395 0.7888 0.3753 1
Cl7 Cl 0.2605 0.1247 0.7112 1
Cl8 Cl 0.2888 0.7395 0.8753 1
Cl9 Cl 0.3558 0.9518 0.9494 1
Cl10 Cl 0.3753 0.2395 0.7888 1
Cl11 Cl 0.4494 0.4518 0.8558 1
Cl12 Cl 0.4518 0.8558 0.4494 1
Cl13 Cl 0.5482 0.1442 0.5506 1
Cl14 Cl 0.5506 0.5482 0.1442 1
Cl15 Cl 0.6247 0.7605 0.2112 1
Cl16 Cl 0.6442 0.0482 0.0506 1
Cl17 Cl 0.7112 0.2605 0.1247 1
Cl18 Cl 0.7395 0.8753 0.2888 1
Cl19 Cl 0.7605 0.2112 0.6247 1
Cl20 Cl 0.7888 0.3753 0.2395 1
Cl21 Cl 0.8558 0.4494 0.4518 1
Cl22 Cl 0.8753 0.2888 0.7395 1
Cl23 Cl 0.9494 0.3558 0.9518 1
Cl24 Cl 0.9518 0.9494 0.3558 1


# GGA-PBE K2SCl, optimized geometry
# total DFT energy (no corrections) = -3.112 eV per atom
# formation energy from raw total energies = -4.28 eV/f.u.
# relative energy among the computed polymorphs = 102 meV/atom
# symmetry = Fm-3m
# size of the total moment = 1.000 Bohr magnetons per cell
data_K2SCl
_symmetry_space_group_name_H-M 'P 1'
_symmetry_Int_Tables_number 1
_cell_length_a 5.4710
_cell_length_b 5.4710
_cell_length_c 5.4710
_cell_angle_alpha 60.00
_cell_angle_beta 60.00
_cell_angle_gamma 60.00
loop_
_symmetry_equiv_pos_as_xyz
'x,y,z'
loop_
_atom_site_label
_atom_site_type_symbol
_atom_site_fract_x
_atom_site_fract_y
_atom_site_fract_z
_atom_site_occupancy
K1 K 0.2500 0.2500 0.2500 1
K2 K 0.7500 0.7500 0.7500 1
S1 S 0.0000 0.0000 0.0000 1
Cl1 Cl 0.5000 0.5000 0.5000 1


# GGA-PBE KS5Cl, optimized geometry
# total DFT energy (no corrections) = -3.782 eV per atom
# formation energy from raw total energies = -2.89 eV/f.u.
# symmetry = P1
# size of the total moment = 0.000 Bohr magnetons per cell
data_KS5Cl
_symmetry_space_group_name_H-M 'P 1'
_symmetry_Int_Tables_number 1
_cell_length_a 5.4344
_cell_length_b 6.4242
_cell_length_c 7.7894
_cell_angle_alpha 112.73
_cell_angle_beta 93.93
_cell_angle_gamma 107.35
loop_
_symmetry_equiv_pos_as_xyz
'x,y,z'
loop_
_atom_site_label
_atom_site_type_symbol
_atom_site_fract_x
_atom_site_fract_y
_atom_site_fract_z
_atom_site_occupancy
K1 K 0.0000 0.0000 0.0000 1
S1 S 0.1768 0.6341 0.3326 1
S2 S 0.2428 0.5985 0.5849 1
S3 S 0.2624 0.2700 0.5446 1
S4 S 0.8297 0.7046 0.3093 1
S5 S 0.9100 0.0300 0.5514 1
Cl1 Cl 0.5659 0.1875 0.9857 1


# GGA-PBE K2SCl4, optimized geometry
# total DFT energy (no corrections) = -3.104 eV per atom
# formation energy from raw total energies = -8.02 eV/f.u.
# symmetry = I4/mmm
# size of the total moment = 0.001 Bohr magnetons per cell
data_K2SCl4
_symmetry_space_group_name_H-M 'P 1'
_symmetry_Int_Tables_number 1
_cell_length_a 6.6017
_cell_length_b 6.6017
_cell_length_c 6.6017
_cell_angle_alpha 114.34
_cell_angle_beta 114.34
_cell_angle_gamma 100.12
loop_
_symmetry_equiv_pos_as_xyz
'x,y,z'
loop_
_atom_site_label
_atom_site_type_symbol
_atom_site_fract_x
_atom_site_fract_y
_atom_site_fract_z
_atom_site_occupancy
K1 K 0.2500 0.7500 0.5000 1
K2 K 0.7500 0.2500 0.5000 1
S1 S 0.0000 0.0000 0.0000 1
Cl1 Cl 0.2342 0.2342 0.4684 1
Cl2 Cl 0.2342 0.7658 0.0000 1
Cl3 Cl 0.7658 0.2342 0.0000 1
Cl4 Cl 0.7658 0.7658 0.5316 1


# GGA-PBE KS2Cl, optimized geometry
# total DFT energy (no corrections) = -2.408 eV per atom
# formation energy from raw total energies = 1.57 eV/f.u.
# relative energy among the computed polymorphs = 404 meV/atom
# symmetry = Fm-3m
# size of the total moment = 4.000 Bohr magnetons per cell
data_KS2Cl
_symmetry_space_group_name_H-M 'P 1'
_symmetry_Int_Tables_number 1
_cell_length_a 5.3218
_cell_length_b 5.3218
_cell_length_c 5.3218
_cell_angle_alpha 60.00
_cell_angle_beta 60.00
_cell_angle_gamma 60.00
loop_
_symmetry_equiv_pos_as_xyz
'x,y,z'
loop_
_atom_site_label
_atom_site_type_symbol
_atom_site_fract_x
_atom_site_fract_y
_atom_site_fract_z
_atom_site_occupancy
K1 K 0.0000 0.0000 0.0000 1
S1 S 0.2500 0.2500 0.2500 1
S2 S 0.7500 0.7500 0.7500 1
Cl1 Cl 0.5000 0.5000 0.5000 1


# GGA-PBE KS2Cl, optimized geometry
# total DFT energy (no corrections) = -2.812 eV per atom
# formation energy from raw total energies = -0.05 eV/f.u.
# relative energy among the computed polymorphs = 0 meV/atom
# symmetry = R-3m
# size of the total moment = 0.000 Bohr magnetons per cell
data_KS2Cl
_symmetry_space_group_name_H-M 'P 1'
_symmetry_Int_Tables_number 1
_cell_length_a 6.1217
_cell_length_b 6.1217
_cell_length_c 6.1217
_cell_angle_alpha 45.58
_cell_angle_beta 45.58
_cell_angle_gamma 45.58
loop_
_symmetry_equiv_pos_as_xyz
'x,y,z'
loop_
_atom_site_label
_atom_site_type_symbol
_atom_site_fract_x
_atom_site_fract_y
_atom_site_fract_z
_atom_site_occupancy
K1 K 0.0000 0.0000 0.0000 1
S1 S 0.1806 0.1806 0.1806 1
S2 S 0.8194 0.8194 0.8194 1
Cl1 Cl 0.5000 0.5000 0.5000 1


# GGA-PBE KS2Cl, optimized geometry
# total DFT energy (no corrections) = -2.682 eV per atom
# formation energy from raw total energies = 0.47 eV/f.u.
# relative energy among the computed polymorphs = 130 meV/atom
# symmetry = I-42d
# size of the total moment = 0.000 Bohr magnetons per cell
data_KS2Cl
_symmetry_space_group_name_H-M 'P 1'
_symmetry_Int_Tables_number 1
_cell_length_a 7.9158
_cell_length_b 7.9158
_cell_length_c 7.9158
_cell_angle_alpha 131.89
_cell_angle_beta 131.89
_cell_angle_gamma 70.40
loop_
_symmetry_equiv_pos_as_xyz
'x,y,z'
loop_
_atom_site_label
_atom_site_type_symbol
_atom_site_fract_x
_atom_site_fract_y
_atom_site_fract_z
_atom_site_occupancy
K1 K 0.0000 0.0000 0.0000 1
K2 K 0.7500 0.2500 0.5000 1
S1 S 0.2943 0.6250 0.1693 1
S2 S 0.3750 0.5443 0.6693 1
S3 S 0.4557 0.1250 0.8307 1
S4 S 0.8750 0.7057 0.3307 1
Cl1 Cl 0.2500 0.7500 0.5000 1
Cl2 Cl 0.5000 0.5000 0.0000 1


# GGA-PBE KSCl3, optimized geometry
# total DFT energy (no corrections) = -2.852 eV per atom
# formation energy from raw total energies = -3.50 eV/f.u.
# relative energy among the computed polymorphs = 106 meV/atom
# symmetry = Pm-3m
# size of the total moment = 0.000 Bohr magnetons per cell
data_KSCl3
_symmetry_space_group_name_H-M 'P 1'
_symmetry_Int_Tables_number 1
_cell_length_a 5.0354
_cell_length_b 5.0354
_cell_length_c 5.0354
_cell_angle_alpha 90.00
_cell_angle_beta 90.00
_cell_angle_gamma 90.00
loop_
_symmetry_equiv_pos_as_xyz
'x,y,z'
loop_
_atom_site_label
_atom_site_type_symbol
_atom_site_fract_x
_atom_site_fract_y
_atom_site_fract_z
_atom_site_occupancy
K1 K 0.0000 0.0000 0.0000 1
S1 S 0.5000 0.5000 0.5000 1
Cl1 Cl 0.0000 0.5000 0.5000 1
Cl2 Cl 0.5000 0.0000 0.5000 1
Cl3 Cl 0.5000 0.5000 0.0000 1